*A*
Entry from Alexandria: a relaxed structure of TiReN2F (PBE).

```
TiReN2F
1.0
4.013 0.000 0.000
0.000 4.013 0.000
0.000 0.000 3.714
Ti Re N F
1 1 2 1
direct
0.000 0.000 0.000 Ti
0.500 0.500 0.500 Re
0.000 0.500 0.000 N
0.500 0.000 0.000 N
0.000 0.000 0.500 F
```

Values from the calculation:
Mass density: 7.80 g cm⁻³
M_tot: 0.73 μB/atom

*B*
Entry from Alexandria: a relaxed structure of TiReN2F (PBE).

```
TiReN2F
1.0
3.906 0.000 0.000
0.000 3.906 0.000
0.000 0.000 3.985
Ti Re N F
1 1 2 1
direct
0.000 0.000 0.000 Ti
0.500 0.500 0.500 Re
0.000 0.500 0.500 N
0.500 0.000 0.500 N
0.500 0.500 0.000 F
```

Values from the calculation:
Mass density: 7.68 g cm⁻³
M_tot: 0.00 μB/atom

The most stable arrangement is *B*, and the next structure is 19.3 kJ/mol of atoms less stable.

*A*
Entry from Alexandria: a relaxed structure of TlReNF2 (PBE).

```
TlReNF2
1.0
4.433 0.000 0.000
0.000 4.433 0.000
0.000 0.000 3.824
Tl Re N F
1 1 1 2
direct
0.000 0.000 0.000 Tl
0.500 0.500 0.500 Re
0.500 0.500 0.000 N
0.000 0.500 0.500 F
0.500 0.000 0.500 F
```

Values from the calculation:
Mass density: 9.78 g cm⁻³
M_tot: 0.09 μB/atom

*B*
Entry from Alexandria: a relaxed structure of TlReNF2 (PBE).

```
TlReNF2
1.0
4.429 0.000 0.000
0.000 4.429 0.000
0.000 0.000 4.381
Tl Re N F
1 1 1 2
direct
0.000 0.000 0.000 Tl
0.500 0.500 0.500 Re
0.000 0.000 0.500 N
0.000 0.500 0.000 F
0.500 0.000 0.000 F
```

Values from the calculation:
Mass density: 8.55 g cm⁻³
M_tot: 0.98 μB/atom

The most stable arrangement is *A*, and the next structure is 145.7 kJ/mol of atoms less stable.